This record from Alexandria via LeMat-Bulk describes Sc4AlAu after structural relaxation. The functional is GGA-PBE.

The value obtained for the density of states at the Fermi level is 1.06 states/eV/atom. For the energy relative to the elements, the calculation gives 0.153 eV per atom. The relative energy among the computed polymorphs is 2.21 eV per formula unit.

The structure belongs to space group F-43m (No. 216); the cell edges are 8.023, 8.023 and 8.023 Å and the angles 90.00°, 90.00° and 90.00°. The distinct sites, in fractional coordinates, are Sc at (0.124, 0.124, 0.124), Al at (0.250, 0.250, 0.750) and Au at (0.000, 0.000, 0.500).